PmErTl2 | PBE | relaxed

DFT formation energy in kJ per mole of atoms: -33.4
Calculated volume in Å³/cell: 448.2
Electronic total energy in eV/atom: -3.857

Cell lengths 7.6528, 7.6528, 7.6528 Å; angles 90.00, 90.00, 90.00 degrees
Last column: nearest neighbours and their distance in Å.
Space group Fm-3m (No. 225)
Unique sites:
1 Pm 0.0000 0.0000 0.0000  8 Tl 3.31
2 Er 0.0000 0.0000 0.5000  8 Tl 3.31
3 Tl 0.2500 0.2500 0.2500  4 Er 3.31, 4 Pm 3.31



Pm3Er4Tl | PBE | relaxed

DFT formation energy in kJ per mole of atoms: 1.9
Calculated volume in Å³/cell: 247.1
ΔE to the lowest computed polymorph in eV/f.u.: 0.78
Electronic total energy in eV/atom: -4.339

Cell lengths 4.1204, 4.1204, 14.5518 Å; angles 90.00, 90.00, 90.00 degrees
Last column: nearest neighbours and their distance in Å.
Space group P4/mmm (No. 123)
Unique sites:
1 Pm 0.0000 0.0000 0.0000  8 Er 3.49, 2 Pm 3.68
2 Pm 0.0000 0.0000 0.2528  8 Er 3.40-3.52, 1 Tl 3.60, 1 Pm 3.68
3 Er 0.5000 0.5000 0.1319  8 Pm 3.40-3.49, 1 Er 3.74
4 Er 0.5000 0.5000 0.3890  1 Er 3.23, 4 Tl 3.33, 4 Pm 3.52
5 Tl 0.0000 0.0000 0.5000  8 Er 3.33, 2 Pm 3.60



PmEr2Tl2 | PBE | relaxed

DFT formation energy in kJ per mole of atoms: -26.3
Calculated volume in Å³/cell: 144.7
ΔE to the lowest computed polymorph in eV/f.u.: 0.01
Electronic total energy in eV/atom: -3.994

Cell lengths 5.2445, 5.2464, 6.7782 Å; angles 67.40, 67.31, 60.06 degrees
Last column: nearest neighbours and their distance in Å.
Space group P-1 (No. 2)
Unique sites:
1 Pm 0.0000 0.0000 0.0000  6 Tl 3.35-3.36
2 Er 0.2090 0.2104 0.3724  3 Tl 3.14, 3 Er 3.39-3.41
3 Tl 0.4128 0.4104 0.7633  3 Er 3.14, 1 Tl 3.20, 3 Pm 3.35-3.36



Pm4Er5Tl | PBE | relaxed

DFT formation energy in kJ per mole of atoms: 9.7
Calculated volume in Å³/cell: 663.7
ΔE to the lowest computed polymorph in eV/f.u.: 0.65
Electronic total energy in eV/atom: -4.317

Cell lengths 10.7029, 10.7029, 5.7936 Å; angles 90.00, 90.00, 90.00 degrees
Last column: nearest neighbours and their distance in Å.
Space group I4mm (No. 107)
Unique sites:
1 Pm 0.0000 0.3136 0.0000  5 Er 3.38-3.74, 1 Tl 3.73
2 Er 0.0000 0.0000 0.7989  2 Tl 2.80-3.00
3 Er 0.1844 0.1844 0.5059  1 Tl 3.08, 1 Er 3.27, 2 Pm 3.38
4 Tl 0.0000 0.0000 0.2818  6 Er 2.80-3.08



Pm2ErTl | PBE | relaxed

DFT formation energy in kJ per mole of atoms: -8.7
Calculated volume in Å³/cell: 494.7
ΔE to the lowest computed polymorph in eV/f.u.: 0.40
Electronic total energy in eV/atom: -4.198

Cell lengths 9.8852, 8.0675, 6.2028 Å; angles 90.00, 90.00, 90.00 degrees
Last column: nearest neighbours and their distance in Å.
Space group Cmcm (No. 63)
Unique sites:
1 Pm 0.1905 0.1740 0.2500  4 Er 3.28-3.63, 2 Pm 3.54, 2 Tl 3.59
2 Er 0.0000 0.1590 0.7500  2 Tl 3.16, 4 Pm 3.28-3.34
3 Tl 0.0000 0.5000 0.0000  2 Tl 3.10, 2 Er 3.16



Pm7Er12Tl | PBE | relaxed

DFT formation energy in kJ per mole of atoms: 6.4
Calculated volume in Å³/cell: 645.1
Electronic total energy in eV/atom: -4.452

Cell lengths 8.7718, 8.9042, 9.4032 Å; angles 115.60, 95.73, 98.09 degrees
Last column: nearest neighbours and their distance in Å.
Space group P-1 (No. 2)
Unique sites:
1 Pm 0.0000 0.0000 0.0000  2 Er 3.09
2 Pm 0.1692 0.5975 0.6347  3 Pm 3.30-3.68, 1 Tl 3.36, 4 Er 3.49-3.67
3 Pm 0.3010 0.7116 0.0157  3 Pm 3.30-3.62, 4 Er 3.33-3.58
4 Pm 0.4132 0.3363 0.7286  1 Tl 3.17, 4 Er 3.35-3.54, 1 Pm 3.50
5 Er 0.0329 0.3093 0.8229  7 Er 3.45-3.76, 5 Pm 3.45-3.82
6 Er 0.0611 0.1356 0.4204  7 Er 3.45-3.64, 4 Pm 3.49-3.65
7 Er 0.2108 0.4223 0.2144  1 Tl 3.27, 4 Er 3.47-3.62, 3 Pm 3.52-3.65
8 Er 0.3017 0.0596 0.8709  2 Pm 3.09-3.35, 2 Er 3.30-3.43
9 Er 0.3084 0.8788 0.4565  8 Er 3.45-3.62, 4 Pm 3.46-3.74
10 Er 0.4062 0.1277 0.2591  1 Tl 3.03, 1 Er 3.30, 1 Pm 3.33
11 Tl 0.5000 0.5000 0.5000  4 Er 3.03-3.27, 4 Pm 3.17-3.36



Pm8ErTl6 | PBE | relaxed

DFT formation energy in kJ per mole of atoms: -15.4
Calculated volume in Å³/cell: 1478.7
Electronic total energy in eV/atom: -3.944

Cell lengths 9.2809, 9.2809, 19.8223 Å; angles 90.00, 90.00, 120.00 degrees
Last column: nearest neighbours and their distance in Å.
Space group R-3 (No. 148, hexagonal axes)
Unique sites:
1 Pm 0.0000 0.0000 0.1655  6 Tl 3.33-3.34
2 Pm 0.0007 0.6649 0.3892  5 Tl 3.23-3.38
3 Er 0.0000 0.0000 0.5000  6 Tl 3.25
4 Tl 0.0004 0.3271 0.4406  7 Pm 3.23-3.38, 1 Er 3.25



Pm2Er4Tl | PBE | relaxed

DFT formation energy in kJ per mole of atoms: 0.0
Calculated volume in Å³/cell: 431.8
Electronic total energy in eV/atom: -4.302

Cell lengths 5.8639, 6.6388, 11.4150 Å; angles 90.00, 103.68, 90.00 degrees
Last column: nearest neighbours and their distance in Å.
Space group P2_1/m (No. 11)
Unique sites:
1 Pm 0.0543 0.2500 0.4768  2 Tl 3.24-3.35, 4 Er 3.38-3.45, 2 Pm 3.44
2 Pm 0.3377 0.7500 0.0686  9 Er 3.24-3.56
3 Er 0.1618 0.0086 0.7880  4 Er 3.20-3.54, 1 Tl 3.31, 3 Pm 3.40-3.56
4 Er 0.2120 0.2500 0.0697  1 Tl 3.13, 4 Pm 3.24-3.40, 2 Er 3.47
5 Er 0.3777 0.7500 0.3675  3 Tl 3.23-3.40, 3 Pm 3.36-3.42, 2 Er 3.62
6 Tl 0.4821 0.2500 0.3411  6 Er 3.13-3.40, 2 Pm 3.24-3.35



Pm2ErTl2 | PBE | relaxed

DFT formation energy in kJ per mole of atoms: -30.3
Calculated volume in Å³/cell: 305.5
ΔE to the lowest computed polymorph in eV/f.u.: 0.00
Electronic total energy in eV/atom: -4.073

Cell lengths 8.1849, 8.1849, 4.5597 Å; angles 90.00, 90.00, 90.00 degrees
Last column: nearest neighbours and their distance in Å.
Space group P4/mbm (No. 127)
Unique sites:
1 Pm 0.1714 0.3286 0.0000  6 Tl 3.23-3.38
2 Er 0.0000 0.0000 0.5000  4 Tl 3.20
3 Tl 0.1312 0.6312 0.5000  1 Tl 3.04, 2 Er 3.20, 6 Pm 3.23-3.38



Pm5ErTl4 | PBE | relaxed

DFT formation energy in kJ per mole of atoms: -28.1
Calculated volume in Å³/cell: 300.9
ΔE to the lowest computed polymorph in eV/f.u.: 0.00
Electronic total energy in eV/atom: -4.069

Cell lengths 3.6836, 3.6836, 22.1741 Å; angles 90.00, 90.00, 90.00 degrees
Last column: nearest neighbours and their distance in Å.
Space group P4/mmm (No. 123)
Unique sites:
1 Pm 0.0000 0.0000 0.0000  8 Tl 3.38, 4 Pm 3.68
2 Pm 0.0000 0.0000 0.1943  8 Tl 3.38, 4 Pm 3.68
3 Pm 0.0000 0.0000 0.3878  4 Tl 3.37, 4 Er 3.60, 4 Pm 3.68
4 Er 0.5000 0.5000 0.5000  8 Pm 3.60, 4 Er 3.68
5 Tl 0.5000 0.5000 0.0971  8 Pm 3.38, 4 Tl 3.68
6 Tl 0.5000 0.5000 0.2912  8 Pm 3.37-3.38, 4 Tl 3.68



Pm4Er3Tl2 | PBE | relaxed

DFT formation energy in kJ per mole of atoms: -8.4
Calculated volume in Å³/cell: 1142.7
Electronic total energy in eV/atom: -4.246

Cell lengths 12.8522, 13.6903, 6.5205 Å; angles 90.00, 95.10, 90.00 degrees
Last column: nearest neighbours and their distance in Å.
Space group C2/c (No. 15)
Unique sites:
1 Pm 0.1054 0.2108 0.0873  2 Tl 3.31, 1 Er 3.58, 5 Pm 3.59-3.69
2 Pm 0.1467 0.3250 0.5933  2 Tl 3.33-3.43, 3 Er 3.41-3.62, 5 Pm 3.65-3.69
3 Er 0.0000 0.4678 0.2500  4 Tl 3.09-3.41, 2 Er 3.38, 2 Pm 3.41
4 Er 0.1114 0.0626 0.6048  2 Tl 3.13-3.19
5 Tl 0.2047 0.4321 0.0472  4 Er 3.09-3.41, 4 Pm 3.31-3.43



PmEr2Tl2 | PBE | relaxed

DFT formation energy in kJ per mole of atoms: -26.5
Calculated volume in Å³/cell: 287.1
ΔE to the lowest computed polymorph in eV/f.u.: 0.00
Electronic total energy in eV/atom: -3.997

Cell lengths 3.7735, 5.4328, 14.1312 Å; angles 90.00, 97.68, 90.00 degrees
Last column: nearest neighbours and their distance in Å.
Space group P2_1/m (No. 11)
Unique sites:
1 Pm 0.1473 0.2500 0.2971  6 Tl 3.31-3.43, 2 Er 3.68
2 Er 0.0497 0.7500 0.0998  8 Tl 3.26-3.31
3 Er 0.2372 0.7500 0.4748  2 Tl 3.21, 4 Er 3.38
4 Tl 0.3559 0.2500 0.7105  4 Er 3.21-3.26, 4 Pm 3.31
5 Tl 0.4528 0.7500 0.9071  6 Er 3.29-3.31, 2 Pm 3.42-3.43



Pm3Er5Tl2 | PBE | relaxed

DFT formation energy in kJ per mole of atoms: 8.6
Calculated volume in Å³/cell: 1279.0
Electronic total energy in eV/atom: -4.091

Cell lengths 12.8697, 15.4574, 6.4291 Å; angles 90.00, 90.00, 90.00 degrees
Last column: nearest neighbours and their distance in Å.
Space group Ibam (No. 72)
Unique sites:
1 Pm 0.0000 0.0000 0.2500  2 Pm 3.21, 2 Er 3.27, 4 Tl 3.29
2 Pm 0.1193 0.2364 0.0000  4 Er 3.42-3.57, 4 Tl 3.51-3.62
3 Er 0.0000 0.5000 0.2500  8 Er 3.16-3.36
4 Er 0.1181 0.3364 0.5000  1 Tl 2.95
5 Er 0.2459 0.5000 0.2500  2 Tl 3.16, 5 Er 3.16-3.42, 1 Pm 3.27
6 Tl 0.1368 0.1464 0.5000  3 Er 2.95-3.16, 2 Pm 3.29



Pm12Er6Tl | PBE | relaxed

DFT formation energy in kJ per mole of atoms: 7.7
Calculated volume in Å³/cell: 1894.6
Electronic total energy in eV/atom: -4.486

Cell lengths 11.9983, 11.9983, 15.1965 Å; angles 90.00, 90.00, 120.00 degrees
Last column: nearest neighbours and their distance in Å.
Space group R-3 (No. 148, hexagonal axes)
Unique sites:
1 Pm 0.0069 0.1779 0.3132  4 Er 3.48-3.72, 5 Pm 3.52-3.83, 1 Tl 3.53
2 Pm 0.0467 0.8466 0.9154  3 Er 3.34-3.55, 4 Pm 3.37-3.67
3 Er 0.0240 0.4338 0.1904  7 Pm 3.34-3.72, 1 Tl 3.37, 2 Er 3.43
4 Tl 0.0000 0.0000 0.5000  6 Er 3.37, 6 Pm 3.53



PmEr2Tl | PBE | relaxed

DFT formation energy in kJ per mole of atoms: -16.6
Calculated volume in Å³/cell: 119.6
ΔE to the lowest computed polymorph in eV/f.u.: 0.02
Electronic total energy in eV/atom: -4.232

Cell lengths 3.6307, 3.6307, 9.0758 Å; angles 90.00, 90.00, 90.00 degrees
Last column: nearest neighbours and their distance in Å.
Space group P4/mmm (No. 123)
Unique sites:
1 Pm 0.0000 0.0000 0.0000  8 Er 3.58, 4 Pm 3.63
2 Er 0.5000 0.5000 0.2751  4 Tl 3.28, 4 Pm 3.58, 4 Er 3.63
3 Tl 0.0000 0.0000 0.5000  8 Er 3.28, 4 Tl 3.63



Pm15Er2Tl2 | PBE | relaxed

DFT formation energy in kJ per mole of atoms: 16.8
Calculated volume in Å³/cell: 1894.3
Electronic total energy in eV/atom: -4.306

Cell lengths 11.0839, 11.0839, 17.8044 Å; angles 90.00, 90.00, 120.00 degrees
Last column: nearest neighbours and their distance in Å.
Space group R-3m (No. 166, hexagonal axes)
Unique sites:
1 Pm 0.0000 0.2916 0.0000  6 Pm 3.23-3.40
2 Pm 0.0000 0.5000 0.5000  8 Pm 3.40, 2 Tl 3.42
3 Pm 0.0287 0.5144 0.1323  6 Pm 3.17-3.40
4 Er 0.0000 0.0000 0.3105  1 Tl 3.76, 15 Pm 3.97-4.10
5 Tl 0.0000 0.0000 0.0994  9 Pm 3.42-3.68, 1 Tl 3.54, 1 Er 3.76



Pm7ErTl4 | PBE | relaxed

DFT formation energy in kJ per mole of atoms: -5.8
Calculated volume in Å³/cell: 764.5
Electronic total energy in eV/atom: -4.000

Cell lengths 15.0900, 5.9211, 10.0519 Å; angles 90.00, 121.65, 90.00 degrees
Last column: nearest neighbours and their distance in Å.
Space group C2/m (No. 12)
Unique sites:
1 Pm 0.0000 0.0000 0.0000  2 Er 2.96, 4 Tl 3.06-3.28
2 Pm 0.0657 0.5000 0.4014  3 Tl 3.26-3.31, 3 Pm 3.46-3.51, 1 Er 3.61
3 Pm 0.2020 0.5000 0.8809  3 Tl 3.40-3.59, 5 Pm 3.51-3.74
4 Pm 0.2396 0.0000 0.6883  4 Tl 3.06-3.22
5 Er 0.0000 0.5000 0.0000  2 Pm 2.96
6 Tl 0.0475 0.0000 0.7166  4 Pm 3.06-3.31, 1 Tl 3.27
7 Tl 0.1858 0.0000 0.3368  6 Pm 3.06-3.40, 1 Tl 3.27



Pm3Er2Tl | PBE | relaxed

DFT formation energy in kJ per mole of atoms: -6.7
Calculated volume in Å³/cell: 756.6
ΔE to the lowest computed polymorph in eV/f.u.: 0.24
Electronic total energy in eV/atom: -4.360

Cell lengths 17.3024, 6.8335, 6.4825 Å; angles 90.00, 99.19, 90.00 degrees
Last column: nearest neighbours and their distance in Å.
Space group C2/c (No. 15)
Unique sites:
1 Pm 0.0000 0.2277 0.2500  4 Tl 3.26-3.50, 2 Er 3.40, 2 Pm 3.49
2 Pm 0.1689 0.1179 0.0419  5 Er 3.37-3.56, 1 Tl 3.41, 4 Pm 3.45-3.62
3 Er 0.1623 0.3907 0.5710  1 Tl 3.29, 6 Pm 3.37-3.56, 2 Er 3.57
4 Tl 0.0000 0.2841 0.7500  6 Pm 3.26-3.50, 2 Er 3.29



PmEr3Tl3 | PBE | relaxed

DFT formation energy in kJ per mole of atoms: -23.3
Calculated volume in Å³/cell: 400.4
ΔE to the lowest computed polymorph in eV/f.u.: 0.00
Electronic total energy in eV/atom: -3.890

Cell lengths 9.4095, 9.4095, 5.2213 Å; angles 90.00, 90.00, 120.00 degrees
Last column: nearest neighbours and their distance in Å.
Space group P6_3/m (No. 176)
Unique sites:
1 Pm 0.3333 0.6667 0.2500  9 Tl 3.41-3.47, 3 Er 3.71
2 Er 0.0011 0.2305 0.2500  4 Tl 3.09-3.42, 4 Er 3.39
3 Tl 0.0721 0.4482 0.7500  4 Er 3.09-3.42, 2 Tl 3.31, 1 Pm 3.41